Entry 1:
Material: PuTh2As
Method: DFT, PBE
State: relaxed

Properties
ρ in g/cm3: 12.66
V in A^3/atom: 25.68
VASP energy in eV per atom: -8.875
Excess energy over the best structure of this formula in the dataset in kJ per mole of atoms: 0.0
Calculated formation energy in meV per atom: -419

CIF file:
```
data_PuTh2As
_space_group_name_H-M_alt 'P 4/m m m'
_space_group_IT_number 123
_space_group_name_Hall '-P 4 2'
_cell_length_a 4.9806
_cell_length_b 4.9806
_cell_length_c 4.1410
_cell_angle_alpha 90.00
_cell_angle_beta 90.00
_cell_angle_gamma 90.00
loop_
_atom_site_label
_atom_site_type_symbol
_atom_site_fract_x
_atom_site_fract_y
_atom_site_fract_z
_atom_site_occupancy
Pu1 Pu 0.0000 0.0000 0.0000 1
Th1 Th 0.0000 0.5000 0.5000 1
As1 As 0.5000 0.5000 0.0000 1
```


Entry 2:
Material: AcLa2Pm6Y3
Method: DFT, PBE
State: relaxed

Properties
ρ in g/cm3: 6.46
V in A^3/atom: 35.18
VASP energy in eV per atom: -5.129
Calculated formation energy in meV per atom: 26

CIF file:
```
data_AcLa2Pm6Y3
_space_group_name_H-M_alt 'C 1 2/m 1'
_space_group_IT_number 12
_space_group_name_Hall '-C 2y'
_cell_length_a 6.3769
_cell_length_b 11.0541
_cell_length_c 12.1672
_cell_angle_alpha 90.00
_cell_angle_beta 100.10
_cell_angle_gamma 90.00
loop_
_atom_site_label
_atom_site_type_symbol
_atom_site_fract_x
_atom_site_fract_y
_atom_site_fract_z
_atom_site_occupancy
Ac1 Ac 0.0000 0.0000 0.0000 1
La1 La 0.0000 0.3333 0.0000 1
Pm1 Pm 0.2463 0.3326 0.7433 1
Pm2 Pm 0.2484 0.0000 0.7431 1
Y1 Y 0.0000 0.1668 0.5000 1
Y2 Y 0.0000 0.5000 0.5000 1
```


Entry 3:
Material: BaCrNi2
Method: DFT, PBE
State: relaxed

Properties
ρ in g/cm3: 6.67
V in A^3/atom: 19.09
VASP energy in eV per atom: -4.959
Excess energy over the best structure of this formula in the dataset in kJ per mole of atoms: 59.7
Calculated formation energy in meV per atom: 818

CIF file:
```
data_BaCrNi2
_space_group_name_H-M_alt 'I -4 m 2'
_space_group_IT_number 119
_space_group_name_Hall 'I -4 -2'
_cell_length_a 4.1366
_cell_length_b 4.1366
_cell_length_c 8.9241
_cell_angle_alpha 90.00
_cell_angle_beta 90.00
_cell_angle_gamma 90.00
loop_
_atom_site_label
_atom_site_type_symbol
_atom_site_fract_x
_atom_site_fract_y
_atom_site_fract_z
_atom_site_occupancy
Ba1 Ba 0.0000 0.0000 0.0000 1
Cr1 Cr 0.0000 0.5000 0.7500 1
Ni1 Ni 0.0000 0.0000 0.5000 1
Ni2 Ni 0.0000 0.5000 0.2500 1
```


Entry 4:
Material: KRb2LiCl
Method: DFT, PBE
State: relaxed

Properties
ρ in g/cm3: 1.56
V in A^3/atom: 53.79
VASP energy in eV per atom: -1.999
Excess energy over the best structure of this formula in the dataset in kJ per mole of atoms: 0.0
Formation energy from raw total energies in eV/atom: -0.64

CIF file:
```
data_KRb2LiCl
_space_group_name_H-M_alt 'P 4/m m m'
_space_group_IT_number 123
_space_group_name_Hall '-P 4 2'
_cell_length_a 6.5715
_cell_length_b 6.5715
_cell_length_c 6.2274
_cell_angle_alpha 90.00
_cell_angle_beta 90.00
_cell_angle_gamma 90.00
loop_
_atom_site_label
_atom_site_type_symbol
_atom_site_fract_x
_atom_site_fract_y
_atom_site_fract_z
_atom_site_occupancy
K1 K 0.0000 0.0000 0.0000 1
Rb1 Rb 0.0000 0.5000 0.5000 1
Li1 Li 0.5000 0.5000 0.0000 1
Cl1 Cl 0.0000 0.0000 0.5000 1
```


Entry 5:
Material: NaPu2Br8
Method: DFT, PBE
State: relaxed

Properties
ρ in g/cm3: 3.90
V in A^3/atom: 44.49
VASP energy in eV per atom: -5.216
Excess energy over the best structure of this formula in the dataset in kJ per mole of atoms: 6.5
Formation energy from raw total energies in eV/atom: -1.27

CIF file:
```
data_NaPu2Br8
_space_group_name_H-M_alt 'C 1 2/m 1'
_space_group_IT_number 12
_space_group_name_Hall '-C 2y'
_cell_length_a 15.3006
_cell_length_b 11.2255
_cell_length_c 5.6993
_cell_angle_alpha 90.00
_cell_angle_beta 90.60
_cell_angle_gamma 90.00
loop_
_atom_site_label
_atom_site_type_symbol
_atom_site_fract_x
_atom_site_fract_y
_atom_site_fract_z
_atom_site_occupancy
Na1 Na 0.0000 0.0000 0.0000 1
Pu1 Pu 0.2344 0.0000 0.7542 1
Br1 Br 0.0912 0.5000 0.2451 1
Br2 Br 0.1137 0.1790 0.7665 1
Br3 Br 0.2310 0.0000 0.2556 1
```


Entry 6:
Material: HoAl8Cr4
Method: DFT, PBE
State: relaxed

Properties
ρ in g/cm3: 4.89
V in A^3/atom: 15.39
VASP energy in eV per atom: -5.839
Calculated formation energy in meV per atom: -223

CIF file:
```
data_HoAl8Cr4
_space_group_name_H-M_alt 'I 4/m m m'
_space_group_IT_number 139
_space_group_name_Hall '-I 4 2'
_cell_length_a 8.8968
_cell_length_b 8.8968
_cell_length_c 5.0561
_cell_angle_alpha 90.00
_cell_angle_beta 90.00
_cell_angle_gamma 90.00
loop_
_atom_site_label
_atom_site_type_symbol
_atom_site_fract_x
_atom_site_fract_y
_atom_site_fract_z
_atom_site_occupancy
Ho1 Ho 0.0000 0.0000 0.0000 1
Al1 Al 0.0000 0.2223 0.5000 1
Al2 Al 0.0000 0.3362 0.0000 1
Cr1 Cr 0.2500 0.2500 0.2500 1
```


Entry 7:
Material: Nd4ZnBr5
Method: DFT, PBE
State: relaxed

Properties
ρ in g/cm3: 5.21
V in A^3/atom: 33.20
VASP energy in eV per atom: -4.211
Formation energy from raw total energies in eV/atom: -1.34

CIF file:
```
data_Nd4ZnBr5
_space_group_name_H-M_alt 'C 1 2/m 1'
_space_group_IT_number 12
_space_group_name_Hall '-C 2y'
_cell_length_a 18.7736
_cell_length_b 4.0656
_cell_length_c 8.9142
_cell_angle_alpha 90.00
_cell_angle_beta 102.57
_cell_angle_gamma 90.00
loop_
_atom_site_label
_atom_site_type_symbol
_atom_site_fract_x
_atom_site_fract_y
_atom_site_fract_z
_atom_site_occupancy
Nd1 Nd 0.0001 0.0000 0.2340 1
Nd2 Nd 0.1555 0.5000 0.0801 1
Zn1 Zn 0.0000 0.5000 0.0000 1
Br1 Br 0.0000 0.5000 0.5000 1
Br2 Br 0.1661 0.0000 0.3309 1
Br3 Br 0.1718 0.0000 0.8334 1
```


Entry 8:
Material: YSb2Ir
Method: DFT, PBE
State: relaxed

Properties
ρ in g/cm3: 8.77
V in A^3/atom: 24.83
VASP energy in eV per atom: -6.324
Formation energy from raw total energies in eV/atom: -0.43

CIF file:
```
data_YSb2Ir
_space_group_name_H-M_alt 'P 1 m 1'
_space_group_IT_number 6
_space_group_name_Hall 'P -2y'
_cell_length_a 4.1434
_cell_length_b 3.9473
_cell_length_c 6.4113
_cell_angle_alpha 90.00
_cell_angle_beta 108.73
_cell_angle_gamma 90.00
loop_
_atom_site_label
_atom_site_type_symbol
_atom_site_fract_x
_atom_site_fract_y
_atom_site_fract_z
_atom_site_occupancy
Y1 Y 0.0000 0.0000 0.0000 1
Sb1 Sb 0.2805 0.0000 0.5568 1
Sb2 Sb 0.6484 0.5000 0.2959 1
Ir1 Ir 0.4300 0.5000 0.8622 1
```


Entry 9:
Material: RhSe3N
Method: DFT, PBE
State: relaxed

Properties
ρ in g/cm3: 5.23
V in A^3/atom: 22.46
VASP energy in eV per atom: -3.597
Excess energy over the best structure of this formula in the dataset in kJ per mole of atoms: 57.2
Formation energy from raw total energies in eV/atom: 1.63

CIF file:
```
data_RhSe3N
_space_group_name_H-M_alt 'P m -3 m'
_space_group_IT_number 221
_space_group_name_Hall '-P 4 2 3'
_cell_length_a 4.8243
_cell_length_b 4.8243
_cell_length_c 4.8243
_cell_angle_alpha 90.00
_cell_angle_beta 90.00
_cell_angle_gamma 90.00
loop_
_atom_site_label
_atom_site_type_symbol
_atom_site_fract_x
_atom_site_fract_y
_atom_site_fract_z
_atom_site_occupancy
Rh1 Rh 0.0000 0.0000 0.0000 1
Se1 Se 0.0000 0.0000 0.5000 1
N1 N 0.5000 0.5000 0.5000 1
```


Entry 10:
Material: TlNiHRh2
Method: DFT, PBE
State: relaxed

Properties
ρ in g/cm3: 12.27
V in A^3/atom: 12.72
VASP energy in eV per atom: -5.196

CIF file:
```
data_TlNiHRh2
_space_group_name_H-M_alt 'P 4/m m m'
_space_group_IT_number 123
_space_group_name_Hall '-P 4 2'
_cell_length_a 4.0741
_cell_length_b 4.0741
_cell_length_c 3.8306
_cell_angle_alpha 90.00
_cell_angle_beta 90.00
_cell_angle_gamma 90.00
loop_
_atom_site_label
_atom_site_type_symbol
_atom_site_fract_x
_atom_site_fract_y
_atom_site_fract_z
_atom_site_occupancy
Tl1 Tl 0.0000 0.0000 0.0000 1
Ni1 Ni 0.5000 0.5000 0.0000 1
H1 H 0.5000 0.5000 0.5000 1
Rh1 Rh 0.0000 0.5000 0.5000 1
```


Entry 11:
Material: EuThZnIr
Method: DFT, PBE
State: relaxed

Properties
ρ in g/cm3: 11.42
V in A^3/atom: 23.33
VASP energy in eV per atom: -7.363
Calculated formation energy in meV per atom: -406

CIF file:
```
data_EuThZnIr
_space_group_name_H-M_alt 'F -4 3 m'
_space_group_IT_number 216
_space_group_name_Hall 'F -4 2 3'
_cell_length_a 7.2001
_cell_length_b 7.2001
_cell_length_c 7.2001
_cell_angle_alpha 90.00
_cell_angle_beta 90.00
_cell_angle_gamma 90.00
loop_
_atom_site_label
_atom_site_type_symbol
_atom_site_fract_x
_atom_site_fract_y
_atom_site_fract_z
_atom_site_occupancy
Eu1 Eu 0.0000 0.0000 0.0000 1
Th1 Th 0.0000 0.0000 0.5000 1
Zn1 Zn 0.2500 0.2500 0.2500 1
Ir1 Ir 0.2500 0.2500 0.7500 1
```


Entry 12:
Material: Cu2TcAs
Method: DFT, PBE
State: relaxed

Properties
ρ in g/cm3: 8.97
V in A^3/atom: 13.88
VASP energy in eV per atom: -5.594
Calculated formation energy in meV per atom: 208

CIF file:
```
data_Cu2TcAs
_space_group_name_H-M_alt 'C 1 m 1'
_space_group_IT_number 8
_space_group_name_Hall 'C -2y'
_cell_length_a 8.6691
_cell_length_b 2.6918
_cell_length_c 4.8239
_cell_angle_alpha 90.00
_cell_angle_beta 99.38
_cell_angle_gamma 90.00
loop_
_atom_site_label
_atom_site_type_symbol
_atom_site_fract_x
_atom_site_fract_y
_atom_site_fract_z
_atom_site_occupancy
Cu1 Cu 0.0000 0.0000 0.0000 1
Cu2 Cu 0.2448 0.5000 0.1935 1
Tc1 Tc 0.2549 0.0000 0.7051 1
As1 As 0.0023 0.5000 0.4911 1
```